First-principles (PBE-GGA) data for an optimized crystal structure of ZnReSn2Os, as listed in Alexandria via LeMat-Bulk.

Summary:
- V (A^3/atom) = 21.750
- M_tot (μB per atom) = 0.502
- crystal system = tetragonal
- ΔE_f (eV/atom) = 1.856

Cell and atoms, written as CIF:
```
data_ZnReSn2Os
_chemical_formula_sum 'Zn1 Re1 Sn2 Os1'
_cell_length_a 4.8820
_cell_length_b 4.8820
_cell_length_c 4.5629
_cell_angle_alpha 90.00
_cell_angle_beta 90.00
_cell_angle_gamma 90.00
_space_group_name_H-M_alt 'P 4/m m m'
_space_group_IT_number 123
_space_group_name_Hall '-P 4 2'
loop_
_atom_site_label
_atom_site_type_symbol
_atom_site_fract_x
_atom_site_fract_y
_atom_site_fract_z
Zn1 Zn 0.0000 0.0000 0.0000
Re1 Re 0.5000 0.5000 0.5000
Sn1 Sn 0.0000 0.5000 0.0000
Os1 Os 0.0000 0.0000 0.5000
```